KW2 | PBE | relaxed

Cell: 2.819 2.819 8.759 Å, 90.00 90.00 120.00°
Fractional coordinates of all 3 atoms:
1 W 0.333 0.667 0.638
2 W 0.667 0.333 0.362
3 K 0.000 0.000 0.000

Properties
Calculated total energy: -23.4 eV/f.u.
Calculated formation energy: 1.196 eV/atom
Excess energy over the best structure of this formula in the dataset: 0.62 eV/f.u.
D(E_F): 0.91 states/eV per atom
Symmetry: P-3m1 (164)
Magnetic moment: 0.000 μB per formula unit

---

Er6IrPb2 | PBE | relaxed

Cell: 4.188 8.239 8.240 Å, 120.00 90.00 90.00°
Fractional coordinates of all 9 atoms:
1 Pb 0.000 0.333 0.667
2 Pb 0.000 0.667 0.333
3 Er 0.000 0.237 0.000
4 Er 0.500 0.000 0.608
5 Er 0.500 0.608 0.000
6 Er 0.000 0.762 0.762
7 Er 0.000 0.000 0.238
8 Er 0.500 0.392 0.392
9 Ir 0.500 0.000 0.000

Properties
Calculated total energy: -48.5 eV/f.u.
Calculated formation energy: -0.538 eV/atom
Excess energy over the best structure of this formula in the dataset: 0.00 eV/f.u.
D(E_F): 0.70 states/eV per atom
Symmetry: P-62m (189)
Magnetic moment: 0.000 μB per formula unit

---

Tb4Sm3Ho | PBE | relaxed

Cell: 6.312 7.306 11.433 Å, 90.00 90.00 90.00°
Fractional coordinates of all 16 atoms:
1 Ho 0.647 0.627 0.500
2 Ho 0.147 0.373 0.000
3 Tb 0.481 0.876 0.749
4 Tb 0.981 0.124 0.249
5 Tb 0.981 0.124 0.751
6 Tb 0.149 0.876 0.000
7 Tb 0.148 0.877 0.500
8 Tb 0.648 0.123 0.000
9 Tb 0.481 0.876 0.251
10 Tb 0.649 0.124 0.500
11 Sm 0.981 0.626 0.750
12 Sm 0.481 0.374 0.250
13 Sm 0.648 0.626 0.000
14 Sm 0.481 0.374 0.750
15 Sm 0.981 0.626 0.250
16 Sm 0.148 0.374 0.500

Properties
Calculated total energy: -37.1 eV/f.u.
Calculated formation energy: 0.019 eV/atom
Excess energy over the best structure of this formula in the dataset: 0.00 eV/f.u.
D(E_F): 1.71 states/eV per atom
Symmetry: Pmn2_1 (31)
Magnetic moment: 0.000 μB per formula unit

---

TcSbP2 | PBE | relaxed

Cell: 3.097 3.097 7.531 Å, 90.00 90.00 90.00°
Fractional coordinates of all 4 atoms:
1 Sb 0.000 0.000 0.560
2 P 0.000 0.000 0.983
3 P 0.500 0.500 0.144
4 Tc 0.500 0.500 0.813

Properties
Calculated total energy: -25.2 eV/f.u.
D(E_F): 0.41 states/eV per atom
Symmetry: P4mm (99)
Magnetic moment: 0.000 μB per formula unit
Raw formation energy: 3.10 kJ/mol of atoms

---

CaIrPb2 | PBE | relaxed

Cell: 3.468 4.809 6.881 Å, 70.00 90.00 90.00°
Fractional coordinates of all 4 atoms:
1 Ir 0.500 0.982 0.662
2 Pb 0.000 0.810 0.004
3 Pb 0.500 0.192 0.242
4 Ca 0.000 0.517 0.592

Properties
Calculated total energy: -18.7 eV/f.u.
Calculated formation energy: -0.100 eV/atom
D(E_F): 0.58 states/eV per atom
Symmetry: Pm (6)
Magnetic moment: 0.000 μB per formula unit

---

CeGdMgHg | PBE | relaxed

Cell: 5.379 5.379 5.379 Å, 60.00 60.00 60.00°
Fractional coordinates of all 4 atoms:
1 Ce 0.500 0.500 0.500
2 Mg 0.750 0.750 0.750
3 Hg 0.250 0.250 0.250
4 Gd 0.000 0.000 0.000

Properties
Calculated total energy: -22.6 eV/f.u.
Calculated formation energy: -0.184 eV/atom
D(E_F): 2.54 states/eV per atom
Symmetry: F-43m (216)
Magnetic moment: 8.904 μB per formula unit

---

K3Ce3InTe8 | PBE | relaxed

Cell: 9.087 9.090 9.855 Å, 117.46 90.00 120.00°
Fractional coordinates of all 15 atoms:
1 Ce 0.500 0.500 0.500
2 Ce 0.500 0.000 0.500
3 Ce 0.000 0.500 0.500
4 Te 0.261 0.028 0.295
5 Te 0.739 0.972 0.705
6 Te 0.738 0.475 0.713
7 Te 0.262 0.525 0.287
8 Te 0.767 0.028 0.295
9 Te 0.233 0.466 0.705
10 Te 0.767 0.534 0.295
11 Te 0.233 0.972 0.705
12 K 0.000 0.000 0.000
13 K 0.500 0.500 0.000
14 K 0.000 0.500 0.000
15 In 0.000 0.000 0.500

Properties
Calculated total energy: -65.7 eV/f.u.
D(E_F): 0.97 states/eV per atom
Symmetry: R-3m (166)
Magnetic moment: 1.824 μB per formula unit
Raw formation energy: -107.37 kJ/mol of atoms

---

BePPt2 | PBE | relaxed

Cell: 3.317 3.317 4.917 Å, 90.00 90.00 90.00°
Fractional coordinates of all 4 atoms:
1 P 0.500 0.500 0.787
2 Be 0.000 0.000 0.462
3 Pt 0.500 0.500 0.308
4 Pt 0.000 0.000 0.943

Properties
Calculated total energy: -22.9 eV/f.u.
Calculated formation energy: -0.420 eV/atom
Excess energy over the best structure of this formula in the dataset: 0.21 eV/f.u.
D(E_F): 0.37 states/eV per atom
Symmetry: P4mm (99)
Magnetic moment: 0.000 μB per formula unit